# 1
A relaxed structure of InCuNiAg. Source: OQMD via LeMat-Bulk, functional GGA-PBE.

- crystal system = cubic
- energy relative to the lowest polymorph listed for this composition (eV per atom) = 0.000
- theoretical density (g/cm3) = 9.37

a b c (Å): 6.253 6.253 6.253
angles (deg): 90.00 90.00 90.00
Space group F-43m (No. 216)
Inequivalent atoms, fractional coordinates:
In 0.000 0.000 0.000 [4 per cell]
Cu 0.250 0.250 0.250 [4 per cell]
Ni 0.250 0.250 0.750 [4 per cell]
Ag 0.000 0.000 0.500 [4 per cell]

***

# 2
A relaxed structure of AcOsNO. Source: OQMD via LeMat-Bulk, functional GGA-PBE.

- crystal system = orthorhombic
- energy relative to the lowest polymorph listed for this composition (eV per atom) = 0.346
- theoretical density (g/cm3) = 11.80

a b c (Å): 4.050 5.544 5.606
angles (deg): 90.00 90.00 90.00
Space group Pmc2_1 (No. 26)
Inequivalent atoms, fractional coordinates:
Ac 0.000 0.248 0.000 [2 per cell]
Os 0.500 0.245 0.502 [2 per cell]
N 0.500 0.007 0.246 [2 per cell]
O 0.000 0.310 0.503 [2 per cell]

***

# 3
A relaxed structure of LuCuGeTe3. Source: OQMD via LeMat-Bulk, functional GGA-PBE.

- crystal system = orthorhombic
- energy relative to the lowest polymorph listed for this composition (eV per atom) = 0.016
- theoretical density (g/cm3) = 7.23

a b c (Å): 4.108 14.253 10.895
angles (deg): 90.00 90.00 90.00
Space group Cmcm (No. 63)
Inequivalent atoms, fractional coordinates:
Lu 0.000 0.000 0.000 [4 per cell]
Cu 0.000 0.475 0.250 [4 per cell]
Ge 0.000 0.214 0.750 [4 per cell]
Te 0.000 0.094 0.250 [4 per cell]
Te 0.000 0.352 0.066 [8 per cell]

***

# 4
A relaxed structure of Fe2AsSe3. Source: OQMD via LeMat-Bulk, functional GGA-PBE.

- crystal system = monoclinic
- theoretical density (g/cm3) = 7.13
- E_tot (eV/cell) = -33.610

a b c (Å): 4.905 3.461 5.810
angles (deg): 90.00 90.95 90.00
Space group Pm (No. 6)
Inequivalent atoms, fractional coordinates:
Fe 0.000 0.000 0.000 [1 per cell]
Fe 0.498 0.500 0.501 [1 per cell]
As 0.791 0.000 0.360 [1 per cell]
Se 0.195 0.000 0.632 [1 per cell]
Se 0.285 0.500 0.137 [1 per cell]
Se 0.711 0.500 0.866 [1 per cell]

***

# 5
A relaxed structure of DyTmZnCo2. Source: OQMD via LeMat-Bulk, functional GGA-PBE.

- formation enthalpy at 0 K (eV per atom) = -0.321
- crystal system = orthorhombic
- theoretical density (g/cm3) = 9.58

a b c (Å): 4.051 5.437 8.101
angles (deg): 90.00 90.00 90.00
Space group Imm2 (No. 44)
Inequivalent atoms, fractional coordinates:
Dy 0.000 0.000 0.000 [2 per cell]
Tm 0.000 0.000 0.586 [2 per cell]
Zn 0.000 0.500 0.793 [2 per cell]
Co 0.000 0.288 0.292 [4 per cell]

***

# 6
A relaxed structure of MgSc2Tc. Source: OQMD via LeMat-Bulk, functional GGA-PBE.

- crystal system = orthorhombic
- theoretical density (g/cm3) = 4.68
- E_tot (eV/cell) = -50.113

a b c (Å): 4.734 4.744 6.702
angles (deg): 90.00 90.00 90.00
Space group Immm (No. 71)
Inequivalent atoms, fractional coordinates:
Mg 0.000 0.000 0.000 [2 per cell]
Sc 0.000 0.500 0.250 [4 per cell]
Tc 0.000 0.000 0.500 [2 per cell]

***

# 7
A relaxed structure of BiPt19. Source: OQMD via LeMat-Bulk, functional GGA-PBE.

- crystal system = monoclinic
- energy relative to the lowest polymorph listed for this composition (eV per atom) = 0.018
- theoretical density (g/cm3) = 15.52

a b c (Å): 5.580 2.875 52.227
angles (deg): 90.00 90.00 90.00
Space group P2_1/m (No. 11)
Inequivalent atoms, fractional coordinates:
Bi 0.125 0.250 0.135 [2 per cell]
Pt 0.120 0.250 0.819 [2 per cell]
Pt 0.125 0.250 0.219 [2 per cell]
Pt 0.125 0.250 0.294 [2 per cell]
Pt 0.125 0.250 0.369 [2 per cell]
Pt 0.125 0.250 0.444 [2 per cell]
Pt 0.125 0.250 0.519 [2 per cell]
Pt 0.125 0.250 0.593 [2 per cell]
Pt 0.125 0.250 0.668 [2 per cell]
Pt 0.125 0.250 0.743 [2 per cell]
Pt 0.370 0.750 0.181 [2 per cell]
Pt 0.375 0.750 0.257 [2 per cell]
Pt 0.375 0.750 0.332 [2 per cell]
Pt 0.375 0.750 0.407 [2 per cell]
Pt 0.375 0.750 0.481 [2 per cell]
Pt 0.375 0.750 0.556 [2 per cell]
Pt 0.375 0.750 0.631 [2 per cell]
Pt 0.375 0.750 0.706 [2 per cell]
Pt 0.375 0.750 0.781 [2 per cell]
Pt 0.375 0.750 0.856 [2 per cell]

***

# 8
A relaxed structure of NdTlNO. Source: OQMD via LeMat-Bulk, functional GGA-PBE.

- crystal system = orthorhombic
- energy relative to the lowest polymorph listed for this composition (eV per atom) = 0.107
- theoretical density (g/cm3) = 7.84

a b c (Å): 6.901 7.747 6.002
angles (deg): 90.00 90.00 90.00
Space group Pca2_1 (No. 29)
Inequivalent atoms, fractional coordinates:
Nd 0.080 0.135 0.000 [4 per cell]
Tl 0.090 0.642 0.002 [4 per cell]
N 0.096 0.112 0.610 [4 per cell]
O 0.068 0.609 0.600 [4 per cell]

***

# 9
A relaxed structure of ErTm3In2C2. Source: OQMD via LeMat-Bulk, functional GGA-PBE.

- crystal system = trigonal
- theoretical density (g/cm3) = 8.76
- E_tot (eV/cell) = -45.413

a b c (Å): 3.5512 3.5512 16.1066
angles (deg): 90.00 90.00 120.00
Space group P3m1 (No. 156)
Inequivalent atoms, fractional coordinates:
Er 0.0000 0.0000 0.0000 [1 per cell]
Tm 0.0000 0.0000 0.6643 [1 per cell]
Tm 0.3333 0.6667 0.1651 [1 per cell]
Tm 0.3333 0.6667 0.5001 [1 per cell]
In 0.0000 0.0000 0.3325 [1 per cell]
In 0.3333 0.6667 0.8316 [1 per cell]
C 0.6667 0.3333 0.0828 [1 per cell]
C 0.6667 0.3333 0.5823 [1 per cell]

***

# 10
A relaxed structure of CoNiSb2. Source: OQMD via LeMat-Bulk, functional GGA-PBE.

- crystal system = hexagonal
- theoretical density (g/cm3) = 8.60
- E_tot (eV/cell) = -20.178

a b c (Å): 3.3231 3.3231 7.2944
angles (deg): 90.00 90.00 120.00
Space group P-6m2 (No. 187)
Inequivalent atoms, fractional coordinates:
Co 0.0000 0.0000 0.0000 [1 per cell]
Ni 0.3333 0.6667 0.5000 [1 per cell]
Sb 0.6667 0.3333 0.2449 [2 per cell]

***

# 11
A relaxed structure of Li2HfZrIn2Pd2. Source: OQMD via LeMat-Bulk, functional GGA-PBE.

- crystal system = tetragonal
- theoretical density (g/cm3) = 8.71
- E_tot (eV/cell) = -42.534

a b c (Å): 4.609 4.609 6.520
angles (deg): 90.00 90.00 90.00
Space group P-4m2 (No. 115)
Inequivalent atoms, fractional coordinates:
Li 0.000 0.500 0.250 [2 per cell]
Hf 0.000 0.000 0.500 [1 per cell]
Zr 0.500 0.500 0.000 [1 per cell]
In 0.000 0.000 0.000 [1 per cell]
In 0.500 0.500 0.500 [1 per cell]
Pd 0.000 0.500 0.746 [2 per cell]

***

# 12
A relaxed structure of CsThOs. Source: OQMD via LeMat-Bulk, functional GGA-PBE.

- crystal system = cubic
- energy relative to the lowest polymorph listed for this composition (eV per atom) = 0.000
- theoretical density (g/cm3) = 10.05

a b c (Å): 7.160 7.160 7.160
angles (deg): 90.00 90.00 90.00
Space group F-43m (No. 216)
Inequivalent atoms, fractional coordinates:
Cs 0.000 0.000 0.000 [4 per cell]
Th 0.000 0.000 0.500 [4 per cell]
Os 0.250 0.250 0.250 [4 per cell]

***

# 13
A relaxed structure of Pr3GaBrF2. Source: OQMD via LeMat-Bulk, functional GGA-PBE.

- crystal system = tetragonal
- theoretical density (g/cm3) = 5.52
- E_tot (eV/cell) = -35.295

a b c (Å): 5.808 5.808 5.446
angles (deg): 90.00 90.00 90.00
Space group P4/mmm (No. 123)
Inequivalent atoms, fractional coordinates:
Pr 0.000 0.000 0.000 [1 per cell]
Pr 0.000 0.500 0.500 [2 per cell]
Ga 0.000 0.000 0.500 [1 per cell]
Br 0.500 0.500 0.500 [1 per cell]
F 0.000 0.500 0.000 [2 per cell]

***

# 14
A relaxed structure of Pr2SbIBr. Source: OQMD via LeMat-Bulk, functional GGA-PBE.

- crystal system = trigonal
- theoretical density (g/cm3) = 5.36
- E_tot (eV/cell) = -24.089

a b c (Å): 4.4514 4.4514 11.0158
angles (deg): 90.00 90.00 120.00
Space group P3m1 (No. 156)
Inequivalent atoms, fractional coordinates:
Pr 0.0000 0.0000 0.0000 [1 per cell]
Pr 0.3333 0.6667 0.6745 [1 per cell]
Sb 0.6667 0.3333 0.8377 [1 per cell]
I 0.0000 0.0000 0.4900 [1 per cell]
Br 0.3333 0.6667 0.1583 [1 per cell]

***

# 15
A relaxed structure of Ta8Pb2C3N3. Source: OQMD via LeMat-Bulk, functional GGA-PBE.

- crystal system = trigonal
- theoretical density (g/cm3) = 14.82
- E_tot (eV/cell) = -161.743

a b c (Å): 3.1843 3.1843 24.7473
angles (deg): 90.00 90.00 120.00
Space group P-3m1 (No. 164)
Inequivalent atoms, fractional coordinates:
Ta 0.0000 0.0000 0.1482 [2 per cell]
Ta 0.0000 0.0000 0.3483 [2 per cell]
Ta 0.3333 0.6667 0.5537 [2 per cell]
Ta 0.3333 0.6667 0.9492 [2 per cell]
Pb 0.3333 0.6667 0.7526 [2 per cell]
C 0.0000 0.0000 0.5000 [1 per cell]
C 0.3333 0.6667 0.3950 [2 per cell]
N 0.0000 0.0000 0.0000 [1 per cell]
N 0.3333 0.6667 0.1010 [2 per cell]

***

# 16
A relaxed structure of AlCdCoNi. Source: OQMD via LeMat-Bulk, functional GGA-PBE.

- crystal system = cubic
- energy relative to the lowest polymorph listed for this composition (eV per atom) = 0.000
- theoretical density (g/cm3) = 7.89

a b c (Å): 6.004 6.004 6.004
angles (deg): 90.00 90.00 90.00
Space group F-43m (No. 216)
Inequivalent atoms, fractional coordinates:
Al 0.000 0.000 0.000 [4 per cell]
Cd 0.000 0.000 0.500 [4 per cell]
Co 0.250 0.250 0.250 [4 per cell]
Ni 0.250 0.250 0.750 [4 per cell]

***

# 17
A relaxed structure of TmAsPtO. Source: OQMD via LeMat-Bulk, functional GGA-PBE.

- crystal system = orthorhombic
- energy relative to the lowest polymorph listed for this composition (eV per atom) = 0.405
- theoretical density (g/cm3) = 10.05

a b c (Å): 3.503 7.806 5.501
angles (deg): 90.00 90.00 90.00
Space group Pmc2_1 (No. 26)
Inequivalent atoms, fractional coordinates:
Tm 0.000 0.201 0.000 [2 per cell]
As 0.000 0.423 0.495 [2 per cell]
Pt 0.500 0.214 0.529 [2 per cell]
O 0.500 0.066 0.068 [2 per cell]

***

# 18
A relaxed structure of GdNpBe. Source: OQMD via LeMat-Bulk, functional GGA-PBE.

- crystal system = cubic
- energy relative to the lowest polymorph listed for this composition (eV per atom) = 0.000
- theoretical density (g/cm3) = 9.28

a b c (Å): 6.608 6.608 6.608
angles (deg): 90.00 90.00 90.00
Space group F-43m (No. 216)
Inequivalent atoms, fractional coordinates:
Gd 0.000 0.000 0.000 [4 per cell]
Np 0.000 0.000 0.500 [4 per cell]
Be 0.250 0.250 0.250 [4 per cell]

***

# 19
A relaxed structure of SmAgSnTeS2. Source: OQMD via LeMat-Bulk, functional GGA-PBE.

- crystal system = orthorhombic
- theoretical density (g/cm3) = 5.85
- E_tot (eV/cell) = -111.929

a b c (Å): 4.108 13.867 11.337
angles (deg): 90.00 90.00 90.00
Space group Cmcm (No. 63)
Inequivalent atoms, fractional coordinates:
Sm 0.000 0.000 0.000 [4 per cell]
Ag 0.000 0.481 0.250 [4 per cell]
Sn 0.000 0.206 0.750 [4 per cell]
Te 0.000 0.119 0.250 [4 per cell]
S 0.000 0.372 0.071 [8 per cell]

***

# 20
A relaxed structure of Li4Os2O5. Source: OQMD via LeMat-Bulk, functional GGA-PBE.

- crystal system = orthorhombic
- theoretical density (g/cm3) = 7.71
- E_tot (eV/cell) = -133.682

a b c (Å): 4.334 12.044 4.027
angles (deg): 90.00 90.00 90.00
Space group Cmmm (No. 65)
Inequivalent atoms, fractional coordinates:
Li 0.000 0.000 0.000 [2 per cell]
Li 0.000 0.173 0.500 [4 per cell]
Li 0.000 0.500 0.500 [2 per cell]
Os 0.000 0.317 0.000 [4 per cell]
O 0.000 0.147 0.000 [4 per cell]
O 0.000 0.337 0.500 [4 per cell]
O 0.000 0.500 0.000 [2 per cell]